DyYTm2: optimized geometry, PBE-GGA.

Calculated values
SG   P4/mmm, No. 123
Energy above the most stable polymorph in this dataset   14 meV per atom
Theoretical density   7.9 g cm⁻³

Unit cell a=3.5241 b=3.5241 c=9.9604 alpha=90.00 beta=90.00 gamma=90.00
Closest atoms and distances in Å follow each position.
Element x y z (fractional)
Dy 0.5000 0.5000 0.0000  8 Tm 3.51, 4 Dy 3.52
Tm 0.0000 0.0000 0.2482  4 Dy 3.51, 4 Tm 3.52, 4 Y 3.54
Tm 0.0000 0.0000 0.7518  4 Dy 3.51, 4 Tm 3.52, 4 Y 3.54
Y 0.5000 0.5000 0.5000  4 Y 3.52, 8 Tm 3.54